The following is a DFT calculation (GGA-PBE) of Si2PH after structural relaxation.

The structure in extended XYZ format:
```
8
Lattice="-4.9888 -0.3637 0.1239 0.0331 -2.0147 -4.5799 -2.1270 -5.3744 -0.3844" Properties=species:S:1:pos:R:3 pbc="T T T"
Si -3.4514 -5.0612 -2.2743
Si -1.4778 -2.6733 -2.9346
Si -3.3025 -1.7977 -0.5997
Si -5.9338 -5.9733 -3.8723
P -4.7968 -3.4636 -1.2443
P 0.0000 0.0000 0.0000
H -2.2859 -4.2891 -3.5962
H -2.4779 -1.1892 -2.2280
```

Output
- D(E_F) (states/eV/f.u.) = 1.427
- V (Å³/cell) = 114.8
- raw total energy (eV/atom) = -4.412
- total magnetization (Bohr magnetons per cell) = 0.00
- SG = I-42d (122)

***

The following is a DFT calculation (GGA-PBE) of SiP2H after structural relaxation.

The structure in extended XYZ format:
```
4
Lattice="3.4472 -0.0009 0.0190 -1.7186 3.2866 0.0011 -0.0404 -1.3963 4.8715" Properties=species:S:1:pos:R:3 pbc="T T T"
P 0.2029 1.2305 4.4201
P 1.9506 0.8428 2.3474
Si 0.2344 0.5751 0.6844
H 1.9484 -0.5445 2.6856
```

Output
- D(E_F) (states/eV/f.u.) = 0.683
- V (Å³/cell) = 55.2
- raw total energy (eV/atom) = -4.784
- total magnetization (Bohr magnetons per cell) = 0.00
- SG = P1 (1)

***

The following is a DFT calculation (GGA-PBE) of SiP2H after structural relaxation.

The structure in extended XYZ format:
```
4
Lattice="-2.1933 -2.5297 0.9125 0.3285 -3.1647 -1.3853 3.0543 -3.4731 4.3118" Properties=species:S:1:pos:R:3 pbc="T T T"
H 0.0000 0.0000 0.0000
P -0.8130 -6.1450 0.8060
P 2.0026 -3.0224 3.0330
Si 0.5948 -4.5837 1.9195
```

Output
- D(E_F) (states/eV/f.u.) = 1.917
- V (Å³/cell) = 62.5
- raw total energy (eV/atom) = -4.632
- total magnetization (Bohr magnetons per cell) = 0.00
- SG = R-3m (166)